Material: Pr2PuCoO8
Method: DFT, PBE with a Hubbard U
State: optimized geometry

abc: 5.0335 6.0883 6.1272
angles: 75.97 70.75 76.28
With the nearest neighbours (Å) after each atom.
Space group P-1 (No. 2)
Asymmetric unit:
Pr 0.1240 0.1599 0.1494 (multiplicity 2)  7 O 2.32-2.58
Pu 0.5000 0.5000 0.5000 (multiplicity 1)  6 O 1.94-2.13
Co 0.5000 0.0000 0.5000 (multiplicity 1)  6 O 1.93-1.96
O 0.2513 0.8340 0.4456 (multiplicity 2)  1 Co 1.93, 1 Pu 2.13
O 0.2540 0.4778 0.8205 (multiplicity 2)  1 Pu 1.94
O 0.2751 0.3031 0.4339 (multiplicity 2)  1 Co 1.95, 1 Pu 2.02
O 0.3020 0.9623 0.8375 (multiplicity 2)  1 Co 1.96

Calculated values
* total energy: -98.16 eV per formula unit
* volume: 169.43 Å³ per cell